Ta2AlPb | PBE | optimized geometry

- Theoretical density: 12.636 g cm⁻³
- Formation energy: 0.578 eV/atom
- Magnetic moment: 0.0 μB per cell
- N(E_F): 0.94 states/eV per atom
- Space-group type: No. 216

Cell lengths 4.8027, 4.8027, 4.8027 Å; angles 60.00, 60.00, 60.00 degrees
Last column: nearest neighbours and their distance in Å.
Atoms (fractional coordinates):
1 Pb 0.2500 0.2500 0.2500  4 Ta 2.94, 4 Al 2.94
2 Al 0.5000 0.5000 0.5000  4 Ta 2.94, 4 Pb 2.94
3 Ta 0.0000 0.0000 0.0000  4 Ta 2.94, 4 Pb 2.94
4 Ta 0.7500 0.7500 0.7500  4 Ta 2.94, 4 Al 2.94

=====

LiAlMoIr | PBE | optimized geometry

- Theoretical density: 9.519 g cm⁻³
- Formation energy: -0.378 eV/atom
- Magnetic moment: 0.0 μB per cell
- N(E_F): 0.62 states/eV per atom
- Space-group type: No. 216

Cell lengths 4.2991, 4.2991, 4.2991 Å; angles 60.00, 60.00, 60.00 degrees
Last column: nearest neighbours and their distance in Å.
Atoms (fractional coordinates):
1 Mo 0.2500 0.2500 0.2500  4 Li 2.63, 4 Ir 2.63
2 Ir 0.5000 0.5000 0.5000  4 Mo 2.63, 4 Al 2.63
3 Al 0.7500 0.7500 0.7500  4 Li 2.63, 4 Ir 2.63
4 Li 0.0000 0.0000 0.0000  4 Al 2.63, 4 Mo 2.63

=====

Cs2TlTcS4 | PBE | optimized geometry

- Theoretical density: 3.942 g cm⁻³
- Formation energy from raw total energies: -0.688 eV/atom
- Magnetic moment: 1.9 μB per cell
- N(E_F): 0.18 states/eV per atom
- Space-group type: No. 82

Cell lengths 7.2584, 7.2584, 7.2584 Å; angles 105.59, 111.45, 111.45 degrees
Last column: nearest neighbours and their distance in Å.
Atoms (fractional coordinates):
1 Cs 0.5000 0.7500 0.2500  4 S 3.45
2 Cs 0.0000 0.0000 0.0000  4 S 3.67
3 Tl 0.5000 0.2500 0.7500  4 S 3.00
4 Tc 0.0000 0.5000 0.5000  4 S 2.22
5 S 0.6820 0.4587 0.5023  1 Tc 2.22
6 S 0.0436 0.2233 0.5413  1 Tc 2.22
7 S 0.9564 0.4977 0.1797  1 Tc 2.22
8 S 0.3180 0.8203 0.7767  1 Tc 2.22

=====

PrPaPt2 | PBE | optimized geometry

- Theoretical density: 13.916 g cm⁻³
- Formation energy: -0.802 eV/atom
- Magnetic moment: 0.8 μB per cell
- N(E_F): 1.58 states/eV per atom
- Space-group type: No. 225
- Energy above the lowest structure with this stoichiometry: 213.5 meV per atom

Cell lengths 5.0476, 5.0476, 5.0476 Å; angles 60.00, 60.00, 60.00 degrees
Last column: nearest neighbours and their distance in Å.
Atoms (fractional coordinates):
1 Pr 0.5000 0.5000 0.5000  8 Pt 3.09
2 Pa 0.0000 0.0000 0.0000  8 Pt 3.09
3 Pt 0.2500 0.2500 0.2500  4 Pa 3.09, 4 Pr 3.09
4 Pt 0.7500 0.7500 0.7500  4 Pa 3.09, 4 Pr 3.09

=====

TaCdRu2 | PBE | optimized geometry

- Theoretical density: 12.476 g cm⁻³
- Formation energy: 0.460 eV/atom
- Magnetic moment: 0.9 μB per cell
- N(E_F): 1.53 states/eV per atom
- Space-group type: No. 216

Cell lengths 4.5350, 4.5350, 4.5350 Å; angles 60.00, 60.00, 60.00 degrees
Last column: nearest neighbours and their distance in Å.
Atoms (fractional coordinates):
1 Cd 0.5000 0.5000 0.5000  4 Ru 2.78, 4 Ta 2.78
2 Ru 0.0000 0.0000 0.0000  4 Ta 2.78, 4 Ru 2.78
3 Ru 0.2500 0.2500 0.2500  4 Cd 2.78, 4 Ru 2.78
4 Ta 0.7500 0.7500 0.7500  4 Ru 2.78, 4 Cd 2.78

=====

Zn2WSe | PBE | optimized geometry

- Theoretical density: 9.443 g cm⁻³
- Formation energy from raw total energies: 0.331 eV/atom
- Magnetic moment: 0.0 μB per cell
- N(E_F): 0.34 states/eV per atom
- Space-group type: No. 65

Cell lengths 2.7804, 2.7804, 9.1583 Å; angles 90.00, 90.00, 102.14 degrees
Last column: nearest neighbours and their distance in Å.
Atoms (fractional coordinates):
1 Se 0.5000 0.5000 0.2500  4 Se 2.78, 4 Zn 3.11
2 W 0.5000 0.5000 0.7500  8 Zn 2.66-2.95, 4 W 2.78
3 Zn 0.0000 0.0000 0.9693  4 W 2.66-2.95, 4 Zn 2.78
4 Zn 0.0000 0.0000 0.5307  4 W 2.66-2.95, 4 Zn 2.78

=====

Dy2ErLu | PBE | optimized geometry

- Theoretical density: 9.122 g cm⁻³
- Formation energy: 0.026 eV/atom
- Magnetic moment: 0.0 μB per cell
- N(E_F): 1.44 states/eV per atom
- Space-group type: No. 166
- Energy above the lowest structure with this stoichiometry: 0.5 meV per atom

Cell lengths 3.5073, 3.5073, 11.5801 Å; angles 81.29, 81.29, 60.00 degrees
Last column: nearest neighbours and their distance in Å.
Atoms (fractional coordinates):
1 Lu 0.5000 0.5000 0.5000  6 Dy 3.48, 6 Lu 3.51
2 Dy 0.7505 0.7505 0.7486  3 Lu 3.48, 6 Dy 3.51, 3 Er 3.51
3 Dy 0.2495 0.2495 0.2514  3 Lu 3.48, 6 Dy 3.51, 3 Er 3.51
4 Er 0.0000 0.0000 0.0000  6 Er 3.51, 6 Dy 3.51

=====

Tm4PaIn5 | PBE | optimized geometry

- Theoretical density: 9.665 g cm⁻³
- Formation energy: -0.330 eV/atom
- Magnetic moment: 0.0 μB per cell
- N(E_F): 0.88 states/eV per atom
- Space-group type: No. 123

Cell lengths 3.3927, 3.3927, 22.1045 Å; angles 90.00, 90.00, 90.00 degrees
Last column: nearest neighbours and their distance in Å.
Atoms (fractional coordinates):
1 Tm 0.0000 0.0000 0.2027  8 In 3.24-3.26, 4 Tm 3.39
2 Tm 0.0000 0.0000 0.4007  8 In 3.25, 4 Tm 3.39
3 Tm 0.0000 0.0000 0.5993  8 In 3.25, 4 Tm 3.39
4 Tm 0.0000 0.0000 0.7973  8 In 3.24-3.26, 4 Tm 3.39
5 Pa 0.0000 0.0000 0.0000  8 In 3.31, 4 Pa 3.39
6 In 0.5000 0.5000 0.1029  4 Tm 3.26, 4 Pa 3.31, 4 In 3.39
7 In 0.5000 0.5000 0.3015  8 Tm 3.24-3.25, 4 In 3.39
8 In 0.5000 0.5000 0.5000  8 Tm 3.25, 4 In 3.39
9 In 0.5000 0.5000 0.6985  8 Tm 3.24-3.25, 4 In 3.39
10 In 0.5000 0.5000 0.8971  4 Tm 3.26, 4 Pa 3.31, 4 In 3.39

=====

Li2ZnPdF6 | PBE | optimized geometry

- Theoretical density: 4.044 g cm⁻³
- Formation energy from raw total energies: -2.186 eV/atom
- Magnetic moment: 0.1 μB per cell
- Space-group type: No. 1

Cell lengths 5.0425, 5.6862, 6.2051 Å; angles 53.39, 64.72, 61.68 degrees
Last column: nearest neighbours and their distance in Å.
Atoms (fractional coordinates):
1 Li 0.5781 0.4818 0.4097  4 F 1.90-2.04
2 Li 0.0309 0.9916 0.9165  4 F 1.89-2.03
3 Zn 0.3140 0.3255 0.0387  6 F 1.96-2.15
4 Pd 0.8231 0.8135 0.5419  4 F 2.00-2.04
5 F 0.5761 0.2280 0.2906  1 Li 1.98, 1 Pd 2.01, 1 Zn 2.13
6 F 0.2314 0.8869 0.2846  1 Li 2.04, 1 Pd 2.04, 1 Zn 2.15
7 F 0.9511 0.5780 0.1810  2 Li 1.90-2.03, 1 Zn 1.96
8 F 0.4169 0.7546 0.7867  1 Li 1.93, 1 Pd 2.00, 1 Zn 2.15
9 F 0.6647 0.2058 0.7818  2 Li 1.89-1.97, 1 Zn 1.97
10 F 0.0753 0.3960 0.7837  1 Pd 2.01, 1 Li 2.02, 1 Zn 2.13

=====

Be2AlHg | PBE | optimized geometry

- Theoretical density: 7.035 g cm⁻³
- Formation energy: 0.367 eV/atom
- Magnetic moment: 0.0 μB per cell
- N(E_F): 0.13 states/eV per atom
- Space-group type: No. 8

Cell lengths 4.3610, 4.3610, 4.6178 Å; angles 82.33, 82.33, 41.83 degrees
Last column: nearest neighbours and their distance in Å.
Atoms (fractional coordinates):
1 Be 0.0052 0.0052 0.9755  3 Be 2.44-2.50, 3 Al 2.45-2.62, 2 Hg 2.59
2 Be 0.7375 0.7375 0.7961  3 Be 2.44-2.50, 2 Al 2.46, 1 Hg 2.46
3 Hg 0.4966 0.4966 0.5287  3 Be 2.46-2.59, 1 Al 2.61
4 Al 0.2608 0.2608 0.1998  5 Be 2.45-2.62, 1 Hg 2.61

=====

La2Mn | PBE | optimized geometry

- Theoretical density: 6.366 g cm⁻³
- Formation energy: 0.227 eV/atom
- Magnetic moment: 4.4 μB per cell
- N(E_F): 1.68 states/eV per atom
- Space-group type: No. 140

Cell lengths 6.1229, 6.1229, 6.1229 Å; angles 105.30, 105.30, 118.19 degrees
Last column: nearest neighbours and their distance in Å.
Atoms (fractional coordinates):
1 La 0.6819 0.8181 0.5000  4 Mn 3.14, 2 La 3.46
2 La 0.1819 0.6819 0.8638  4 Mn 3.14, 2 La 3.46
3 La 0.8181 0.3181 0.1362  4 Mn 3.14, 2 La 3.46
4 La 0.3181 0.1819 0.5000  4 Mn 3.14, 2 La 3.46
5 Mn 0.2500 0.2500 0.0000  8 La 3.14, 2 Mn 3.14
6 Mn 0.7500 0.7500 0.0000  8 La 3.14, 2 Mn 3.14

=====

HfMgTi3 | PBE | optimized geometry

- Theoretical density: 4.888 g cm⁻³
- Formation energy: 1.084 eV/atom
- Magnetic moment: 0.0 μB per cell
- N(E_F): 1.89 states/eV per atom
- Space-group type: No. 221
- Energy above the lowest structure with this stoichiometry: 0.0 meV per atom

Cell lengths 4.9004, 4.9004, 4.9004 Å; angles 90.00, 90.00, 90.00 degrees
Last column: nearest neighbours and their distance in Å.
Atoms (fractional coordinates):
1 Mg 0.5000 0.5000 0.5000  12 Ti 3.47
2 Hf 0.0000 0.0000 0.0000  6 Ti 2.45
3 Ti 0.0000 0.5000 0.0000  2 Hf 2.45
4 Ti 0.0000 0.0000 0.5000  2 Hf 2.45
5 Ti 0.5000 0.0000 0.0000  2 Hf 2.45